Crystalline Ca3ZrBi at its relaxed geometry, computed with PBE-GGA.

Symmetry = Pm-3m
Spin magnetization = 4.69 Bohr magnetons per cell
Energy relative to the elements = 412 meV per atom
DFT total energy = -16.4 eV per cell

a b c (Å): 5.958 5.958 5.958
angles (deg): 90.00 90.00 90.00
Positions (direct):
Ca: 0.000 0.000 0.500
Ca: 0.000 0.500 0.000
Ca: 0.500 0.000 0.000
Zr: 0.500 0.500 0.500
Bi: 0.000 0.000 0.000

---

Crystalline ZnCu2Se at its relaxed geometry, computed with PBE-GGA.

Symmetry = P2/m
Formation energy (no corrections) = 0.02 eV/atom
Spin magnetization = 0.00 Bohr magnetons per cell
DFT total energy = -12.9 eV per cell

a b c (Å): 2.808 3.696 5.988
angles (deg): 90.00 90.08 90.00
Positions (direct):
Zn: 0.000 0.000 0.000
Cu: 0.500 0.500 0.203
Cu: 0.500 0.500 0.797
Se: 0.500 0.000 0.500

---

Crystalline Y2ZrTi at its relaxed geometry, computed with PBE-GGA.

Symmetry = I-42d
Spin magnetization = 3.88 Bohr magnetons per cell
Energy relative to the elements = 638 meV per atom
DFT total energy = -53.6 eV per cell

a b c (Å): 6.595 6.595 6.595
angles (deg): 103.24 103.24 122.82
Positions (direct):
Y: 0.105 0.625 0.980
Y: 0.375 0.355 0.480
Y: 0.645 0.125 0.020
Y: 0.875 0.895 0.520
Zr: 0.250 0.750 0.500
Zr: 0.500 0.500 0.000
Ti: 0.000 0.000 0.000
Ti: 0.750 0.250 0.500